(1)
# DyMgTlIr | Alexandria via LeMat-Bulk | PBE | optimized geometry
data_DyMgTlIr
_space_group_name_H-M_alt 'P 1'
_space_group_IT_number 1
_cell_length_a 4.913
_cell_length_b 4.913
_cell_length_c 4.913
_cell_angle_alpha 60.00
_cell_angle_beta 60.00
_cell_angle_gamma 60.00
loop_
_space_group_symop_operation_xyz
'x,y,z'
loop_
_atom_site_label
_atom_site_type_symbol
_atom_site_fract_x
_atom_site_fract_y
_atom_site_fract_z
Dy1 Dy 0.000 0.000 0.000
Mg1 Mg 0.500 0.500 0.500
Tl1 Tl 0.250 0.250 0.250
Ir1 Ir 0.750 0.750 0.750
# * symmetry: F-43m, No. 216
# * density of states at the Fermi level: 3.5 states/eV/cell
# * formation enthalpy at 0 K: -297.6 meV/atom

***

(2)
# LaSiRh2 | Alexandria via LeMat-Bulk | PBE | optimized geometry
data_LaSiRh2
_space_group_name_H-M_alt 'P 1'
_space_group_IT_number 1
_cell_length_a 3.136
_cell_length_b 3.952
_cell_length_c 5.953
_cell_angle_alpha 90.00
_cell_angle_beta 90.00
_cell_angle_gamma 90.00
loop_
_space_group_symop_operation_xyz
'x,y,z'
loop_
_atom_site_label
_atom_site_type_symbol
_atom_site_fract_x
_atom_site_fract_y
_atom_site_fract_z
La1 La 0.000 0.000 0.000
Si1 Si 0.500 0.500 0.636
Rh1 Rh 0.000 0.000 0.531
Rh2 Rh 0.500 0.500 0.245
# * symmetry: Pmm2, No. 25
# * density of states at the Fermi level: 1.6 states/eV/cell
# * formation energy from raw total energies: -1.984 eV per formula unit

***

(3)
# CdI3N | Alexandria via LeMat-Bulk | PBE | optimized geometry
data_CdI3N
_space_group_name_H-M_alt 'P 1'
_space_group_IT_number 1
_cell_length_a 7.972
_cell_length_b 7.972
_cell_length_c 9.437
_cell_angle_alpha 99.82
_cell_angle_beta 99.82
_cell_angle_gamma 55.76
loop_
_space_group_symop_operation_xyz
'x,y,z'
loop_
_atom_site_label
_atom_site_type_symbol
_atom_site_fract_x
_atom_site_fract_y
_atom_site_fract_z
Cd1 Cd 0.244 0.756 0.000
Cd2 Cd 0.756 0.244 0.000
I1 I 0.149 0.149 0.959
I2 I 0.159 0.159 0.521
I3 I 0.448 0.448 0.773
I4 I 0.552 0.552 0.227
I5 I 0.841 0.841 0.479
I6 I 0.851 0.851 0.041
N1 N 0.092 0.092 0.319
N2 N 0.908 0.908 0.681
# * symmetry: C2/m, No. 12
# * energy above the most stable polymorph in this dataset: 0 meV/atom
# * formation energy from raw total energies: 1.919 eV per formula unit

***

(4)
# AcNd2Ge6 | Alexandria via LeMat-Bulk | PBE | optimized geometry
data_AcNd2Ge6
_space_group_name_H-M_alt 'P 1'
_space_group_IT_number 1
_cell_length_a 7.790
_cell_length_b 7.790
_cell_length_c 4.166
_cell_angle_alpha 90.00
_cell_angle_beta 90.00
_cell_angle_gamma 120.00
loop_
_space_group_symop_operation_xyz
'x,y,z'
loop_
_atom_site_label
_atom_site_type_symbol
_atom_site_fract_x
_atom_site_fract_y
_atom_site_fract_z
Ac1 Ac 0.000 0.000 0.000
Nd1 Nd 0.333 0.667 0.000
Nd2 Nd 0.667 0.333 0.000
Ge1 Ge 0.000 0.339 0.500
Ge2 Ge 0.000 0.661 0.500
Ge3 Ge 0.339 0.000 0.500
Ge4 Ge 0.339 0.339 0.500
Ge5 Ge 0.661 0.000 0.500
Ge6 Ge 0.661 0.661 0.500
# * symmetry: P6/mmm, No. 191
# * density of states at the Fermi level: 5.1 states/eV/cell
# * energy above the most stable polymorph in this dataset: 0 meV/atom
# * formation enthalpy at 0 K: -579.6 meV/atom